The following is a GGA-PBE calculation of HoEr2Pu after structural relaxation, from Alexandria via LeMat-Bulk.

The structure belongs to space group Fm-3m (No. 225); the cell edges are 7.831, 7.831 and 7.831 Å and the angles 90.00°, 90.00° and 90.00°. Symmetry generates all atoms from Ho at (0.000, 0.000, 0.000), Er at (0.250, 0.250, 0.250) and Pu at (0.000, 0.000, 0.500).

The value obtained for the energy of formation from the pure elements is 0.1837 eV/atom. For the distance to the lowest polymorph of the same formula, the calculation gives 0.39 eV per formula unit. As for the total magnetization: 27.29 Bohr magnetons per cell.

***

The following is a GGA-PBE calculation of Ni2TeH after structural relaxation, from Alexandria via LeMat-Bulk.

The structure belongs to space group I-42d (No. 122); the cell edges are 4.586, 4.586 and 9.931 Å and the angles 90.00°, 90.00° and 90.00°. Symmetry generates all atoms from Ni at (0.096, 0.250, 0.125), Te at (0.000, 0.000, 0.500) and H at (0.000, 0.000, 0.000).

For the distance to the lowest polymorph of the same formula, the calculation gives 0.00 eV per formula unit. As for the total magnetization: 0.00 Bohr magnetons per cell.

***

The following is a GGA-PBE calculation of Tb6Tl5Bi after structural relaxation, from Alexandria via LeMat-Bulk.

The structure belongs to space group P-1 (No. 2); the cell edges are 5.079, 8.059 and 8.597 Å and the angles 89.94°, 89.98° and 71.72°. Symmetry generates all atoms from Tb at (0.000, 0.000, 0.248), Tb at (0.333, 0.333, 0.246), Tb at (0.333, 0.334, 0.754), Tl at (0.167, 0.667, 0.000), Tl at (0.173, 0.654, 0.500), Tl at (0.500, 0.000, 0.000) and Bi at (0.500, 0.000, 0.500).

The value obtained for the energy of formation from the pure elements is -0.3919 eV/atom. As for the total magnetization: 0.00 Bohr magnetons per cell.

***

The following is a GGA-PBE calculation of Mg3ZnCu after structural relaxation, from Alexandria via LeMat-Bulk.

The structure belongs to space group P6_3/mmc (No. 194); the cell edges are 6.9806, 6.9806 and 4.8020 Å and the angles 90.00°, 90.00° and 120.00°. Symmetry generates all atoms from Mg at (0.1906, 0.3813, 0.2500), Zn at (0.3333, 0.6667, 0.7500) and Cu at (0.0000, 0.0000, 0.0000).

The value obtained for the energy of formation from the pure elements is 0.0528 eV/atom. For the distance to the lowest polymorph of the same formula, the calculation gives 0.00 eV per formula unit. As for the total magnetization: 0.00 Bohr magnetons per cell.

***

The following is a GGA-PBE calculation of CaRe2HgI after structural relaxation, from Alexandria via LeMat-Bulk.

The structure belongs to space group P4/mmm (No. 123); the cell edges are 4.923, 4.923 and 5.694 Å and the angles 90.00°, 90.00° and 90.00°. Symmetry generates all atoms from Ca at (0.000, 0.000, 0.000), Re at (0.000, 0.500, 0.500), Hg at (0.500, 0.500, 0.000) and I at (0.000, 0.000, 0.500).

The uncorrected formation energy comes out at 1.86 eV/atom. As for the total magnetization: 2.52 Bohr magnetons per cell.

***

Please write out number 1 again, unchanged.
The following is a GGA-PBE calculation of HoEr2Pu after structural relaxation, from Alexandria via LeMat-Bulk.

The structure belongs to space group Fm-3m (No. 225); the cell edges are 7.831, 7.831 and 7.831 Å and the angles 90.00°, 90.00° and 90.00°. Symmetry generates all atoms from Ho at (0.000, 0.000, 0.000), Er at (0.250, 0.250, 0.250) and Pu at (0.000, 0.000, 0.500).

The value obtained for the energy of formation from the pure elements is 0.1837 eV/atom. For the distance to the lowest polymorph of the same formula, the calculation gives 0.39 eV per formula unit. As for the total magnetization: 27.29 Bohr magnetons per cell.